Material: SrAcI2O8
Method: DFT, PBE
State: relaxed

The structure in POSCAR format:
```
SrAcI2O8
1.0
5.915 0.000 0.000
2.957 5.122 0.000
2.957 1.707 6.559
O Ac I Sr
8 1 2 1
Cartesian
6.932 4.879 5.209
4.897 1.950 1.351
4.138 3.563 5.209
7.691 3.266 1.351
5.155 5.028 1.351
8.872 5.122 3.361
2.957 1.707 3.198
6.674 1.802 5.209
5.915 3.415 3.280
2.957 1.707 1.381
8.872 5.122 5.178
0.000 0.000 0.000
```

## Properties
**VASP energy**: -64.2 eV per formula unit
**Space group**: R-3 (148)